A plane-wave DFT calculation with PBE-GGA was carried out for CeZrZnCo after structural relaxation.

Values from the calculation:
V (Å³ per cell): 78
Symmetry: No. 216
Total energy (eV for the cell shown): -23.1
Total magnetization (μB/f.u.): 0.1
Theoretical density (g/cm³): 7.60
Energy of formation from the pure elements (eV/atom): -0.05

Lattice parameters (Å, degrees): 4.7902 4.7902 4.7902 60.00 60.00 60.00
With the nearest neighbours (Å) after each atom.
Element x y z (fractional)
Ce1 0.5000 0.5000 0.5000  4 Co 2.93, 4 Zn 2.93
Zr1 0.0000 0.0000 0.0000  4 Zn 2.93, 4 Co 2.93
Zn1 0.2500 0.2500 0.2500  4 Ce 2.93, 4 Zr 2.93
Co1 0.7500 0.7500 0.7500  4 Zr 2.93, 4 Ce 2.93